Here is an optimized crystal structure of NiB3Rh from Alexandria via LeMat-Bulk. Energies are from PBE.

Properties
For the total moment, the calculation gives 0.00 μB per formula unit. The density of states at the Fermi level comes out at 4.26 states/eV/cell. For the formation energy, the calculation gives 1.269 eV/atom.

Cell lengths 3.9853, 3.9853, 3.9853 Å; angles 90.00, 90.00, 90.00 degrees
With the nearest neighbours (Å) after each atom.
Element x y z (fractional)
Ni 0.5000 0.5000 0.5000  12 B 2.82
Rh 0.0000 0.0000 0.0000  6 B 1.99
B 0.5000 0.0000 0.0000  2 Rh 1.99
B 0.0000 0.5000 0.0000  2 Rh 1.99
B 0.0000 0.0000 0.5000  2 Rh 1.99

Here is an optimized crystal structure of NiBRh2 from Alexandria via LeMat-Bulk. Energies are from PBE.

Properties
For the total moment, the calculation gives 0.93 μB per formula unit. The density of states at the Fermi level comes out at 18.96 states/eV/cell. For the formation energy, the calculation gives -0.121 eV/atom.

Cell lengths 4.7859, 5.5523, 7.2358 Å; angles 90.02, 90.00, 90.00 degrees
With the nearest neighbours (Å) after each atom.
Element x y z (fractional)
Rh 0.2506 0.9997 0.8265  2 B 2.10
Ni 0.2640 0.7497 0.1241  1 B 2.22
B 0.9308 0.2500 0.3546  6 Rh 2.10-2.24, 1 Ni 2.22
Rh 0.7506 0.5003 0.1735  2 B 2.10
Ni 0.2360 0.2497 0.1241  1 B 2.22
Rh 0.7500 0.0000 0.5654  4 B 2.14-2.24
Rh 0.7494 0.0003 0.1735  2 B 2.10
Rh 0.7500 0.5000 0.5654  4 B 2.14-2.24
B 0.0692 0.7500 0.6454  6 Rh 2.10-2.24, 1 Ni 2.22
B 0.4308 0.2500 0.6454  6 Rh 2.10-2.24, 1 Ni 2.22
Rh 0.2500 0.0000 0.4346  4 B 2.14-2.24
Rh 0.2494 0.4997 0.8265  2 B 2.10
Ni 0.7640 0.7503 0.8759  1 B 2.22
B 0.5692 0.7500 0.3546  6 Rh 2.10-2.24, 1 Ni 2.22
Rh 0.2500 0.5000 0.4346  4 B 2.14-2.24
Ni 0.7360 0.2503 0.8759  1 B 2.22

Here is an optimized crystal structure of Ni3BRh from Alexandria via LeMat-Bulk. Energies are from PBE.

Properties
For the total moment, the calculation gives 0.00 μB per formula unit. The density of states at the Fermi level comes out at 4.78 states/eV/cell. For the formation energy, the calculation gives 0.113 eV/atom.

Cell lengths 3.8207, 3.8207, 3.8207 Å; angles 90.00, 90.00, 90.00 degrees
With the nearest neighbours (Å) after each atom.
Element x y z (fractional)
Ni 0.0000 0.5000 0.0000  2 B 1.91
Ni 0.0000 0.0000 0.5000  2 B 1.91
B 0.0000 0.0000 0.0000  6 Ni 1.91
Ni 0.5000 0.0000 0.0000  2 B 1.91
Rh 0.5000 0.5000 0.5000  12 Ni 2.70

Here is an optimized crystal structure of NiB2Rh4 from Alexandria via LeMat-Bulk. Energies are from PBE.

Properties
For the total moment, the calculation gives 0.01 μB per formula unit. The density of states at the Fermi level comes out at 19.72 states/eV/cell. For the formation energy, the calculation gives -0.108 eV/atom.

Cell lengths 5.1848, 5.3630, 7.0178 Å; angles 105.74, 104.67, 107.43 degrees
With the nearest neighbours (Å) after each atom.
Element x y z (fractional)
Ni 0.0777 0.9400 0.0098  2 B 2.02-2.10
Rh 0.8342 0.1046 0.6732  3 B 2.12-2.33
B 0.8089 0.5088 0.8853  1 Ni 2.10, 6 Rh 2.11-2.33
Rh 0.4107 0.1810 0.8257  3 B 2.13-2.33
Rh 0.8082 0.6448 0.2160  3 B 2.11-2.24
Rh 0.8420 0.1792 0.2849  3 B 2.11-2.25
Rh 0.8835 0.6142 0.6304  2 B 2.11-2.26
B 0.4667 0.2695 0.1619  1 Ni 2.02, 5 Rh 2.10-2.20
B 0.1743 0.3750 0.6162  1 Ni 2.10, 6 Rh 2.11-2.33
Rh 0.5048 0.7344 0.8698  2 B 2.11-2.26
Rh 0.2063 0.5024 0.0926  3 B 2.10-2.22
Rh 0.3629 0.1593 0.4068  3 B 2.10-2.22
B 0.5533 0.8570 0.3372  1 Ni 2.02, 5 Rh 2.10-2.20
Ni 0.3165 0.6798 0.4902  2 B 2.02-2.10

Here is an optimized crystal structure of NiB3Rh from Alexandria via LeMat-Bulk. Energies are from PBE.

Properties
For the total moment, the calculation gives 0.00 μB per formula unit. The density of states at the Fermi level comes out at 2.37 states/eV/cell. For the formation energy, the calculation gives 0.995 eV/atom.

Cell lengths 3.7209, 3.7209, 3.7209 Å; angles 90.00, 90.00, 90.00 degrees
With the nearest neighbours (Å) after each atom.
Element x y z (fractional)
Rh 0.5000 0.5000 0.5000  12 B 2.63
B 0.0000 0.0000 0.5000  2 Ni 1.86
Ni 0.0000 0.0000 0.0000  6 B 1.86
B 0.5000 0.0000 0.0000  2 Ni 1.86
B 0.0000 0.5000 0.0000  2 Ni 1.86

Here is an optimized crystal structure of Ni4B4Rh3 from Alexandria via LeMat-Bulk. Energies are from PBE.

Properties
For the total moment, the calculation gives 0.00 μB per formula unit. The density of states at the Fermi level comes out at 6.87 states/eV/cell. For the formation energy, the calculation gives -0.233 eV/atom.

Cell lengths 2.7895, 6.7773, 6.8082 Å; angles 119.85, 101.82, 90.00 degrees
With the nearest neighbours (Å) after each atom.
Element x y z (fractional)
Ni 0.3317 0.5133 0.6635  3 B 2.03-2.05
Rh 0.0000 0.5000 0.0000  4 B 2.38
Ni 0.6683 0.4867 0.3365  3 B 2.03-2.05
Rh 0.1135 0.1135 0.2270  6 B 2.20-2.40
Ni 0.3317 0.1502 0.6635  3 B 2.03-2.05
B 0.2381 0.7381 0.4762  4 Ni 2.03, 2 Rh 2.20
Rh 0.8865 0.8865 0.7730  6 B 2.20-2.40
B 0.5000 0.7849 0.0000  2 Ni 2.05
B 0.7619 0.2619 0.5238  4 Ni 2.03, 2 Rh 2.20
B 0.5000 0.2151 0.0000  2 Ni 2.05
Ni 0.6683 0.8498 0.3365  3 B 2.03-2.05